1.
Crystalline Rb2LiHgI5 at its relaxed geometry. Source: Alexandria, functional GGA-PBE.

Values from the calculation:
- VASP energy: -2.344 eV/atom
- ΔE_f (raw): -1.021 eV/atom
- SG: Cmc2_1
- Total magnetization: 0.000 μB per atom

Lattice parameters (Å, degrees): 11.4728 11.4728 15.0466 90.00 90.00 156.74
Last column: nearest neighbours and their distance in Å.
Fractional coordinates of all 18 atoms:
Rb 0.1288 0.8712 0.5000  7 I 3.68-3.90
Rb 0.1323 0.8677 0.1246  6 I 3.69-3.82
Rb 0.8677 0.1323 0.6246  6 I 3.69-3.82
Rb 0.8712 0.1288 0.0000  7 I 3.68-3.90
Li 0.2272 0.7728 0.8588  3 I 2.75-2.86
Li 0.7728 0.2272 0.3588  3 I 2.75-2.86
Hg 0.4339 0.5661 0.2424  4 I 2.83-2.90
Hg 0.5661 0.4339 0.7424  4 I 2.83-2.90
I 0.0383 0.9617 0.8509  2 Hg 2.90
I 0.2942 0.7058 0.4653  2 Li 2.86
I 0.3134 0.6866 0.1874  1 Hg 2.83
I 0.3458 0.6542 0.8133  1 Li 2.75
I 0.5001 0.4999 0.0812  1 Hg 2.85
I 0.4999 0.5001 0.5812  1 Hg 2.85
I 0.6542 0.3458 0.3133  1 Li 2.75
I 0.6866 0.3134 0.6874  1 Hg 2.83
I 0.7058 0.2942 0.9653  2 Li 2.86
I 0.9617 0.0383 0.3509  2 Hg 2.90


2.
Crystalline Li2HgSbI6 at its relaxed geometry. Source: Alexandria, functional GGA-PBE.

Values from the calculation:
- VASP energy: -2.330 eV/atom
- ΔE_f (raw): -0.575 eV/atom
- Density of states at the Fermi level: 0.514 states/eV/atom
- SG: R3
- Total magnetization: 0.000 μB per atom

Lattice parameters (Å, degrees): 8.4458 8.4458 8.4458 54.09 54.09 54.09
Last column: nearest neighbours and their distance in Å.
Fractional coordinates of all 10 atoms:
Li 0.0000 0.0000 0.0000  6 I 3.01-3.18
Li 0.4843 0.4843 0.4843  6 I 3.02-3.08
Hg 0.3034 0.3034 0.3034  6 I 3.20-3.31
Sb 0.8145 0.8145 0.8145  6 I 3.03-3.08
I 0.0818 0.4032 0.7295  2 Li 3.01-3.02, 1 Sb 3.08, 1 Hg 3.31
I 0.2256 0.8698 0.6098  1 Sb 3.03, 2 Li 3.08-3.18, 1 Hg 3.20
I 0.4032 0.7295 0.0818  2 Li 3.01-3.02, 1 Sb 3.08, 1 Hg 3.31
I 0.6098 0.2256 0.8698  1 Sb 3.03, 2 Li 3.08-3.18, 1 Hg 3.20
I 0.7295 0.0818 0.4032  2 Li 3.01-3.02, 1 Sb 3.08, 1 Hg 3.31
I 0.8698 0.6098 0.2256  1 Sb 3.03, 2 Li 3.08-3.18, 1 Hg 3.20


3.
Crystalline SrLi2HgI6 at its relaxed geometry. Source: Alexandria, functional GGA-PBE.

Values from the calculation:
- VASP energy: -2.521 eV/atom
- ΔE_f (raw): -1.010 eV/atom
- Density of states at the Fermi level: 0.000 states/eV/atom
- SG: P1
- Total magnetization: 0.000 μB per atom

Lattice parameters (Å, degrees): 7.7463 7.7514 8.3720 62.45 89.98 60.16
Last column: nearest neighbours and their distance in Å.
Fractional coordinates of all 10 atoms:
Sr 0.0000 0.0000 0.0000  6 I 3.24-3.35
Li 0.3175 0.3652 0.9529  6 I 2.95-3.15
Li 0.8025 0.3957 0.4084  6 I 2.91-3.20
Hg 0.5102 0.9814 0.5264  6 I 2.96-3.30
I 0.0814 0.4833 0.2032  2 Li 2.91-2.95, 1 Sr 3.24
I 0.2094 0.8769 0.6862  1 Hg 2.96, 2 Li 3.15-3.20
I 0.4355 0.8782 0.2040  2 Li 2.92-2.95, 1 Sr 3.25
I 0.5639 0.2277 0.6860  1 Hg 2.96, 2 Li 3.15-3.18
I 0.6865 0.2319 0.2041  2 Li 2.91-2.95, 1 Sr 3.25
I 0.9148 0.5219 0.6861  1 Hg 2.96, 2 Li 3.15-3.17


4.
Crystalline LiHgTe2I at its relaxed geometry. Source: Alexandria, functional GGA-PBE.

Values from the calculation:
- VASP energy: -1.868 eV/atom
- ΔE_f (raw): 0.141 eV/atom
- Density of states at the Fermi level: 1.446 states/eV/atom
- SG: P4/mmm
- Total magnetization: 0.000 μB per atom

Lattice parameters (Å, degrees): 5.2684 5.2684 5.4749 90.00 90.00 90.00
Last column: nearest neighbours and their distance in Å.
Fractional coordinates of all 5 atoms:
Li 0.0000 0.0000 0.0000  4 Te 2.63, 2 I 2.74
Hg 0.5000 0.5000 0.5000  4 I 3.73, 8 Te 3.80
Te 0.0000 0.5000 0.0000  2 Li 2.63
Te 0.5000 0.0000 0.0000  2 Li 2.63
I 0.0000 0.0000 0.5000  2 Li 2.74


5.
Crystalline LiHgTe2I at its relaxed geometry. Source: Alexandria, functional GGA-PBE.

Values from the calculation:
- VASP energy: -1.876 eV/atom
- ΔE_f (raw): 0.133 eV/atom
- Density of states at the Fermi level: 1.653 states/eV/atom
- SG: P4/mmm
- Total magnetization: 0.000 μB per atom

Lattice parameters (Å, degrees): 5.5841 5.5841 6.5282 90.00 90.00 90.00
Last column: nearest neighbours and their distance in Å.
Fractional coordinates of all 5 atoms:
Li 0.0000 0.0000 0.0000  4 I 3.95, 8 Te 4.30
Hg 0.5000 0.5000 0.5000  4 Te 2.79
Te 0.0000 0.5000 0.5000  2 Hg 2.79
Te 0.5000 0.0000 0.5000  2 Hg 2.79
I 0.5000 0.5000 0.0000  2 Hg 3.26


6.
Crystalline LiHgTeI2 at its relaxed geometry. Source: Alexandria, functional GGA-PBE.

Values from the calculation:
- VASP energy: -1.734 eV/atom
- ΔE_f (raw): -0.043 eV/atom
- Density of states at the Fermi level: 1.099 states/eV/atom
- SG: P4/mmm
- Total magnetization: 0.000 μB per atom

Lattice parameters (Å, degrees): 6.0697 6.0697 5.6299 90.00 90.00 90.00
Last column: nearest neighbours and their distance in Å.
Fractional coordinates of all 5 atoms:
Li 0.0000 0.0000 0.0000  8 I 4.14, 4 Te 4.29
Hg 0.5000 0.5000 0.5000  2 Te 2.81, 4 I 3.03
Te 0.5000 0.5000 0.0000  2 Hg 2.81
I 0.0000 0.5000 0.5000  2 Hg 3.03
I 0.5000 0.0000 0.5000  2 Hg 3.03


7.
Crystalline LiTlHg2I6 at its relaxed geometry. Source: Alexandria, functional GGA-PBE.

Values from the calculation:
- VASP energy: -1.939 eV/atom
- ΔE_f (raw): -0.520 eV/atom
- Density of states at the Fermi level: 0.000 states/eV/atom
- SG: R3
- Total magnetization: 0.000 μB per atom

Lattice parameters (Å, degrees): 9.1525 9.1525 9.1525 51.59 51.59 51.59
Last column: nearest neighbours and their distance in Å.
Fractional coordinates of all 10 atoms:
Li 0.0000 0.0000 0.0000  6 I 3.02
Tl 0.5000 0.5000 0.5000  6 I 3.53
Hg 0.2604 0.2604 0.2604  3 I 2.77
Hg 0.7401 0.7401 0.7401  3 I 2.77
I 0.0725 0.3802 0.7791  1 Hg 2.77, 1 Li 3.02
I 0.2232 0.9271 0.6197  1 Hg 2.77, 1 Li 3.02
I 0.3802 0.7791 0.0725  1 Hg 2.77, 1 Li 3.02
I 0.6197 0.2232 0.9271  1 Hg 2.77, 1 Li 3.02
I 0.7791 0.0725 0.3802  1 Hg 2.77, 1 Li 3.02
I 0.9271 0.6197 0.2232  1 Hg 2.77, 1 Li 3.02


8.
Crystalline LiTlHgI2 at its relaxed geometry. Source: Alexandria, functional GGA-PBE.

Values from the calculation:
- VASP energy: -1.981 eV/atom
- ΔE_f (raw): -0.445 eV/atom
- Density of states at the Fermi level: 0.034 states/eV/atom
- SG: P4/mmm
- Total magnetization: 0.000 μB per atom

Lattice parameters (Å, degrees): 5.5671 5.5671 5.8691 90.00 90.00 90.00
Last column: nearest neighbours and their distance in Å.
Fractional coordinates of all 5 atoms:
Li 0.0000 0.0000 0.0000  4 I 2.78, 2 Tl 2.93
Tl 0.0000 0.0000 0.5000  2 Li 2.93
Hg 0.5000 0.5000 0.5000  4 Tl 3.94, 8 I 4.04
I 0.0000 0.5000 0.0000  2 Li 2.78
I 0.5000 0.0000 0.0000  2 Li 2.78


9.
Crystalline LiTlHgI4 at its relaxed geometry. Source: Alexandria, functional GGA-PBE.

Values from the calculation:
- VASP energy: -2.167 eV/atom
- ΔE_f (raw): -0.627 eV/atom
- Density of states at the Fermi level: 0.000 states/eV/atom
- SG: P2_1/m
- Total magnetization: 0.000 μB per atom

Lattice parameters (Å, degrees): 7.0788 8.8498 9.5769 90.00 100.32 90.00
Last column: nearest neighbours and their distance in Å.
Fractional coordinates of all 14 atoms:
Li 0.1894 0.2500 0.3086  4 I 2.77-2.84
Li 0.8106 0.7500 0.6914  4 I 2.77-2.84
Tl 0.3523 0.2500 0.9602  6 I 3.57-3.79, 1 Li 3.72
Tl 0.6477 0.7500 0.0398  6 I 3.57-3.79, 1 Li 3.72
Hg 0.2811 0.7500 0.6688  4 I 2.76-2.97
Hg 0.7189 0.2500 0.3312  4 I 2.76-2.97
I 0.0292 0.2500 0.5520  1 Hg 2.76, 1 Li 2.77
I 0.1062 0.7500 0.9280  1 Li 2.80, 1 Hg 2.97
I 0.4409 0.0115 0.2663  1 Li 2.84, 1 Hg 2.88
I 0.4409 0.4885 0.2663  1 Li 2.84, 1 Hg 2.88
I 0.5591 0.5115 0.7337  1 Li 2.84, 1 Hg 2.88
I 0.5591 0.9885 0.7337  1 Li 2.84, 1 Hg 2.88
I 0.8938 0.2500 0.0720  1 Li 2.80, 1 Hg 2.97
I 0.9708 0.7500 0.4480  1 Hg 2.76, 1 Li 2.77


10.
Crystalline Li3Tl3HgI8 at its relaxed geometry. Source: Alexandria, functional GGA-PBE.

Values from the calculation:
- VASP energy: -2.463 eV/atom
- ΔE_f (raw): -0.760 eV/atom
- SG: C2/m
- Total magnetization: 0.000 μB per atom

Lattice parameters (Å, degrees): 8.9088 8.9088 9.5893 117.66 117.66 59.95
Last column: nearest neighbours and their distance in Å.
Fractional coordinates of all 15 atoms:
Li 0.0000 0.0000 0.0000  6 I 3.05-3.07
Li 0.0000 0.5000 0.0000  6 I 3.05-3.06
Li 0.5000 0.0000 0.0000  6 I 3.05-3.06
Tl 0.0000 0.5000 0.5000  6 I 3.51-3.52
Tl 0.5000 0.0000 0.5000  6 I 3.51-3.52
Tl 0.5000 0.5000 0.5000  6 I 3.51-3.52
Hg 0.5000 0.5000 0.0000  6 I 3.09
I 0.2310 0.7376 0.2055  2 Li 3.05, 1 Hg 3.09
I 0.2353 0.2353 0.2050  3 Li 3.06-3.07
I 0.2624 0.7690 0.7945  2 Li 3.05, 1 Hg 3.09
I 0.2627 0.2627 0.7947  2 Li 3.05, 1 Hg 3.09
I 0.7373 0.7373 0.2053  2 Li 3.05, 1 Hg 3.09
I 0.7376 0.2310 0.2055  2 Li 3.05, 1 Hg 3.09
I 0.7647 0.7647 0.7950  3 Li 3.06-3.07
I 0.7690 0.2624 0.7945  2 Li 3.05, 1 Hg 3.09


Please write out number 10 again, unchanged.
Crystalline Li3Tl3HgI8 at its relaxed geometry. Source: Alexandria, functional GGA-PBE.

Values from the calculation:
- VASP energy: -2.463 eV/atom
- ΔE_f (raw): -0.760 eV/atom
- SG: C2/m
- Total magnetization: 0.000 μB per atom

Lattice parameters (Å, degrees): 8.9088 8.9088 9.5893 117.66 117.66 59.95
Last column: nearest neighbours and their distance in Å.
Fractional coordinates of all 15 atoms:
Li 0.0000 0.0000 0.0000  6 I 3.05-3.07
Li 0.0000 0.5000 0.0000  6 I 3.05-3.06
Li 0.5000 0.0000 0.0000  6 I 3.05-3.06
Tl 0.0000 0.5000 0.5000  6 I 3.51-3.52
Tl 0.5000 0.0000 0.5000  6 I 3.51-3.52
Tl 0.5000 0.5000 0.5000  6 I 3.51-3.52
Hg 0.5000 0.5000 0.0000  6 I 3.09
I 0.2310 0.7376 0.2055  2 Li 3.05, 1 Hg 3.09
I 0.2353 0.2353 0.2050  3 Li 3.06-3.07
I 0.2624 0.7690 0.7945  2 Li 3.05, 1 Hg 3.09
I 0.2627 0.2627 0.7947  2 Li 3.05, 1 Hg 3.09
I 0.7373 0.7373 0.2053  2 Li 3.05, 1 Hg 3.09
I 0.7376 0.2310 0.2055  2 Li 3.05, 1 Hg 3.09
I 0.7647 0.7647 0.7950  3 Li 3.06-3.07
I 0.7690 0.2624 0.7945  2 Li 3.05, 1 Hg 3.09


Question: VASP energy of number 10 (Li3Tl3HgI8)?
Answer: -2.463 eV/atom


Question: Among the records above, which one has the highest ΔE_f (raw)?
Answer: number 4